[1]
# Zn4Au3 (PBEsol, optimized geometry)
data_Zn4Au3
_chemical_formula_sum 'Zn8 Au6'
_symmetry_space_group_name_H-M 'I 4/m m m'
_symmetry_Int_Tables_number 139
_symmetry_space_group_name_Hall '-I 4 2'
_cell_length_a 3.343
_cell_length_b 3.343
_cell_length_c 19.226
_cell_angle_alpha 90.00
_cell_angle_beta 90.00
_cell_angle_gamma 90.00
loop_
_atom_site_label
_atom_site_fract_x
_atom_site_fract_y
_atom_site_fract_z
Zn1 0.000 0.000 0.070
Zn2 0.000 0.000 0.357
Au1 0.000 0.000 0.206
Au2 0.000 0.000 0.500
# Mass density in g/cm³: 13.18
# Formation energy in meV/atom: -175


[2]
# Tb3In5 (PBEsol, optimized geometry)
data_Tb3In5
_chemical_formula_sum 'Tb12 In20'
_symmetry_space_group_name_H-M 'C m c m'
_symmetry_Int_Tables_number 63
_symmetry_space_group_name_Hall '-C 2c 2'
_cell_length_a 9.795
_cell_length_b 7.949
_cell_length_c 10.186
_cell_angle_alpha 90.00
_cell_angle_beta 90.00
_cell_angle_gamma 90.00
loop_
_atom_site_label
_atom_site_fract_x
_atom_site_fract_y
_atom_site_fract_z
Tb1 0.000 0.119 0.250
Tb2 0.205 0.500 0.000
In1 0.000 0.194 0.545
In2 0.000 0.496 0.750
In3 0.217 0.212 0.750
# Mass density in g/cm³: 8.80
# Formation energy in meV/atom: -541


[3]
# NiIrPt2 (PBEsol, optimized geometry)
data_NiIrPt2
_chemical_formula_sum 'Ni1 Ir1 Pt2'
_symmetry_space_group_name_H-M 'P 4/m m m'
_symmetry_Int_Tables_number 123
_symmetry_space_group_name_Hall '-P 4 2'
_cell_length_a 2.724
_cell_length_b 2.724
_cell_length_c 7.354
_cell_angle_alpha 90.00
_cell_angle_beta 90.00
_cell_angle_gamma 90.00
loop_
_atom_site_label
_atom_site_fract_x
_atom_site_fract_y
_atom_site_fract_z
Ni1 0.000 0.000 0.000
Ir1 0.000 0.000 0.500
Pt1 0.500 0.500 0.237
# Mass density in g/cm³: 19.51
# Formation energy in meV/atom: 21
# Energy above the lowest structure with this stoichiometry in meV/atom: 21.6